[1]
First-principles (PBE-GGA) data for an optimized crystal structure of PmEuAu2, as listed in Alexandria via LeMat-Bulk.

Cell: 7.5910 7.5910 7.5910 Å, 33.21 33.21 33.21°
Fractional positions:
Pm: 0.0000 0.0000 0.0000
Eu: 0.5000 0.5000 0.5000
Au: 0.2542 0.2542 0.2542
Au: 0.7458 0.7458 0.7458

## Properties
Magnetic moment in μB/f.u.: 7.150
Energy in eV per atom: -6.0952
E above lowest polymorph in meV per atom: 90.5
Crystal system: trigonal
SG: R-3m
DOS at the Fermi energy in states/eV/cell: 12.5
ρ in kg/m³: 9819

[2]
First-principles (PBE-GGA) data for an optimized crystal structure of PmEuRhAu, as listed in Alexandria via LeMat-Bulk.

Cell: 5.1067 5.1067 5.1067 Å, 60.00 60.00 60.00°
Fractional positions:
Pm: 0.0000 0.0000 0.0000
Eu: 0.5000 0.5000 0.5000
Rh: 0.7500 0.7500 0.7500
Au: 0.2500 0.2500 0.2500

## Properties
Magnetic moment in μB/f.u.: 7.072
Energy in eV per atom: -7.0596
Crystal system: cubic
SG: F-43m
DOS at the Fermi energy in states/eV/cell: 8.1
ρ in kg/m³: 10525

[3]
First-principles (PBE-GGA) data for an optimized crystal structure of PmEuRuAu, as listed in Alexandria via LeMat-Bulk.

Cell: 5.0812 5.0812 5.0812 Å, 60.00 60.00 60.00°
Fractional positions:
Pm: 0.0000 0.0000 0.0000
Eu: 0.5000 0.5000 0.5000
Ru: 0.2500 0.2500 0.2500
Au: 0.7500 0.7500 0.7500

## Properties
Magnetic moment in μB/f.u.: 6.682
Energy in eV per atom: -7.2081
Crystal system: cubic
SG: F-43m
DOS at the Fermi energy in states/eV/cell: 11.5
ρ in kg/m³: 10651

[4]
First-principles (PBE-GGA) data for an optimized crystal structure of PmEuSiAu, as listed in Alexandria via LeMat-Bulk.

Cell: 5.2119 5.2119 5.2119 Å, 60.00 60.00 60.00°
Fractional positions:
Pm: 0.0000 0.0000 0.0000
Eu: 0.5000 0.5000 0.5000
Si: 0.2500 0.2500 0.2500
Au: 0.7500 0.7500 0.7500

## Properties
Magnetic moment in μB/f.u.: 7.190
Energy in eV per atom: -6.5615
Crystal system: cubic
SG: F-43m
DOS at the Fermi energy in states/eV/cell: 7.0
Formation energy from raw total energies in kJ/mol of atoms: -60.8
ρ in kg/m³: 8659

[5]
First-principles (PBE-GGA) data for an optimized crystal structure of PmEuZnAu, as listed in Alexandria via LeMat-Bulk.

Cell: 5.0461 5.0461 5.0461 Å, 60.00 60.00 60.00°
Fractional positions:
Pm: 0.0000 0.0000 0.0000
Eu: 0.7500 0.7500 0.7500
Zn: 0.5000 0.5000 0.5000
Au: 0.2500 0.2500 0.2500

## Properties
Magnetic moment in μB/f.u.: 6.997
Energy in eV per atom: -5.2210
Crystal system: cubic
SG: F-43m
DOS at the Fermi energy in states/eV/cell: 0.9
ρ in kg/m³: 10223

[6]
First-principles (PBE-GGA) data for an optimized crystal structure of PrEuAu, as listed in Alexandria via LeMat-Bulk.

Cell: 5.1914 5.1914 5.1914 Å, 60.00 60.00 60.00°
Fractional positions:
Pr: 0.0000 0.0000 0.0000
Eu: 0.5000 0.5000 0.5000
Au: 0.7500 0.7500 0.7500

## Properties
Magnetic moment in μB/f.u.: 7.204
Energy in eV per atom: -6.5277
E above lowest polymorph in meV per atom: 77.5
Crystal system: cubic
SG: F-43m
DOS at the Fermi energy in states/eV/cell: 3.5
ρ in kg/m³: 8222

[7]
First-principles (PBE-GGA) data for an optimized crystal structure of PrEuAu4, as listed in Alexandria via LeMat-Bulk.

Cell: 5.7756 5.7756 5.7756 Å, 60.00 60.00 60.00°
Fractional positions:
Pr: 0.0000 0.0000 0.0000
Eu: 0.2500 0.2500 0.2500
Au: 0.1259 0.6247 0.6247
Au: 0.6247 0.1259 0.6247
Au: 0.6247 0.6247 0.1259
Au: 0.6247 0.6247 0.6247

## Properties
Magnetic moment in μB/f.u.: 7.226
Energy in eV per atom: -5.2384
Crystal system: cubic
SG: F-43m
DOS at the Fermi energy in states/eV/cell: 8.0
ρ in kg/m³: 13173

[8]
First-principles (PBE-GGA) data for an optimized crystal structure of Pr2EuAu, as listed in Alexandria via LeMat-Bulk.

Cell: 10.7316 10.7316 10.7316 Å, 21.04 21.04 21.04°
Fractional positions:
Pr: 0.2326 0.2326 0.2326
Pr: 0.7674 0.7674 0.7674
Eu: 0.0000 0.0000 0.0000
Au: 0.5000 0.5000 0.5000

## Properties
Magnetic moment in μB/f.u.: 7.375
Energy in eV per atom: -6.0120
E above lowest polymorph in meV per atom: 90.4
Crystal system: trigonal
SG: R-3m
DOS at the Fermi energy in states/eV/cell: 4.7
ρ in kg/m³: 7510

[9]
First-principles (PBE-GGA) data for an optimized crystal structure of Pr2EuAu, as listed in Alexandria via LeMat-Bulk.

Cell: 3.7860 3.7860 9.1136 Å, 90.00 90.00 90.00°
Fractional positions:
Pr: 0.0000 0.0000 0.1957
Pr: 0.0000 0.0000 0.8043
Eu: 0.5000 0.5000 0.5000
Au: 0.5000 0.5000 0.0000

## Properties
Magnetic moment in μB/f.u.: 8.812
Energy in eV per atom: -6.1025
E above lowest polymorph in meV per atom: 0.0
Crystal system: tetragonal
SG: P4/mmm
DOS at the Fermi energy in states/eV/cell: 4.9
ρ in kg/m³: 8018

[10]
First-principles (PBE-GGA) data for an optimized crystal structure of PrEuAu, as listed in Alexandria via LeMat-Bulk.

Cell: 5.0397 5.0397 4.0911 Å, 90.00 90.00 120.00°
Fractional positions:
Pr: 0.0000 0.0000 0.0000
Eu: 0.6667 0.3333 0.4506
Au: 0.3333 0.6667 0.7486

## Properties
Magnetic moment in μB/f.u.: 7.252
Energy in eV per atom: -6.4753
E above lowest polymorph in meV per atom: 129.9
Crystal system: trigonal
SG: P3m1
DOS at the Fermi energy in states/eV/cell: 4.0
ρ in kg/m³: 9039

[11]
First-principles (PBE-GGA) data for an optimized crystal structure of PrEuAu, as listed in Alexandria via LeMat-Bulk.

Cell: 7.0983 7.0983 7.0983 Å, 149.14 149.14 44.20°
Fractional positions:
Pr: 0.0000 0.0000 0.0000
Eu: 0.7283 0.7283 0.0000
Au: 0.3728 0.3728 0.0000

## Properties
Magnetic moment in μB/f.u.: 7.441
Energy in eV per atom: -6.6052
E above lowest polymorph in meV per atom: 0.0
Crystal system: tetragonal
SG: I4mm
DOS at the Fermi energy in states/eV/cell: 4.8
ρ in kg/m³: 8670

[12]
First-principles (PBE-GGA) data for an optimized crystal structure of PrEuAu2, as listed in Alexandria via LeMat-Bulk.

Cell: 3.7563 3.7563 7.4721 Å, 90.00 90.00 90.00°
Fractional positions:
Pr: 0.0000 0.0000 0.0000
Eu: 0.0000 0.0000 0.5000
Au: 0.5000 0.5000 0.2350
Au: 0.5000 0.5000 0.7650

## Properties
Magnetic moment in μB/f.u.: 7.171
Energy in eV per atom: -6.1731
Crystal system: tetragonal
SG: P4/mmm
DOS at the Fermi energy in states/eV/cell: 9.2
ρ in kg/m³: 10817